# 1
VASP calculation (PBE) on Dy4PC2 after structural relaxation.

Geometry as POSCAR:
```
Dy4PC2
1.0
-3.581 -1.100 -0.026
3.564 -5.214 -0.370
0.146 -0.767 12.227
P C Dy
2 4 8
direct
0.609 0.217 0.750
0.391 0.783 0.250
0.136 0.272 0.439
0.864 0.728 0.939
0.136 0.272 0.061
0.864 0.728 0.561
0.767 0.534 0.110
0.767 0.534 0.390
0.233 0.466 0.890
0.233 0.466 0.610
0.940 0.880 0.750
0.060 0.120 0.250
0.500 0.000 0.000
0.500 0.000 0.500
```

Summary:
crystal system = orthorhombic
VASP energy = -0.4923 Ry per atom
energy of formation from the pure elements = -446 kJ/mol of formula units

# 2
VASP calculation (PBE) on Dy2P2Ru2C after structural relaxation.

Geometry as POSCAR:
```
Dy2P2Ru2C
1.0
3.939 0.000 0.000
1.970 5.466 -0.279
1.970 1.786 5.278
Dy P Ru C
2 2 2 1
direct
0.565 0.177 0.693
0.435 0.823 0.307
0.172 0.357 0.299
0.828 0.643 0.701
0.199 0.690 0.912
0.801 0.310 0.088
0.000 0.000 0.000
```

Summary:
crystal system = monoclinic
VASP energy = -0.5667 Ry per atom
energy of formation from the pure elements = -596 kJ/mol of formula units

# 3
VASP calculation (PBE) on Dy8P3CS4 after structural relaxation.

Geometry as POSCAR:
```
Dy8P3CS4
1.0
7.828 0.000 0.000
0.000 7.858 0.015
-3.914 -3.910 5.539
Dy P C S
8 3 1 4
direct
0.233 0.729 0.996
0.233 0.729 0.467
0.252 0.257 0.505
0.763 0.729 0.996
0.237 0.271 0.004
0.748 0.743 0.495
0.767 0.271 0.533
0.767 0.271 0.004
0.500 0.500 0.000
0.500 0.500 0.500
0.000 0.500 0.500
0.000 0.500 0.000
0.500 0.000 0.000
0.500 0.000 0.500
0.000 0.000 0.000
0.000 0.000 0.500
```

Summary:
raw formation energy = -1.72 eV per atom
crystal system = trigonal
VASP energy = -0.4883 Ry per atom

# 4
VASP calculation (PBE) on Dy4PCS2 after structural relaxation.

Geometry as POSCAR:
```
Dy4PCS2
1.0
-2.956 1.895 -1.544
2.558 -1.002 -6.125
-4.101 -5.143 1.538
Dy P C S
4 1 1 2
direct
0.500 0.224 0.221
0.500 0.776 0.779
0.000 0.237 0.770
0.000 0.763 0.230
0.500 0.500 0.000
0.000 0.000 0.000
0.500 0.000 0.500
0.000 0.500 0.500
```

Summary:
raw formation energy = -1.57 eV per atom
crystal system = monoclinic
VASP energy = -0.4945 Ry per atom

# 5
VASP calculation (PBE) on Dy6PC2S3 after structural relaxation.

Geometry as POSCAR:
```
Dy6PC2S3
1.0
3.797 0.000 0.000
0.000 7.782 0.214
-1.898 -2.307 8.083
Dy P C S
6 1 2 3
direct
0.331 0.885 0.662
0.676 0.563 0.352
0.669 0.115 0.338
0.014 0.256 0.028
0.986 0.744 0.972
0.324 0.437 0.648
0.500 0.000 0.000
0.831 0.664 0.662
0.169 0.336 0.338
0.500 0.500 0.000
0.836 0.168 0.673
0.164 0.832 0.327
```

Summary:
raw formation energy = -1.48 eV per atom
crystal system = monoclinic
VASP energy = -0.4998 Ry per atom

# 6
VASP calculation (PBE) on Dy4PCSe2 after structural relaxation.

Geometry as POSCAR:
```
Dy4PCSe2
1.0
-0.466 1.019 3.726
2.620 -5.968 1.960
5.186 4.623 -0.616
Dy P C Se
4 1 1 2
direct
0.500 0.220 0.211
0.500 0.780 0.789
0.000 0.240 0.781
0.000 0.760 0.219
0.500 0.500 0.000
0.000 0.000 0.000
0.500 0.000 0.500
0.000 0.500 0.500
```

Summary:
raw formation energy = -1.46 eV per atom
crystal system = monoclinic
VASP energy = -0.4751 Ry per atom

# 7
VASP calculation (PBE) on Dy8P3CSe4 after structural relaxation.

Geometry as POSCAR:
```
Dy8P3CSe4
1.0
7.941 0.000 0.000
0.000 8.074 0.087
-3.971 -3.966 5.618
Dy P C Se
8 3 1 4
direct
0.229 0.718 0.989
0.229 0.718 0.459
0.257 0.270 0.513
0.759 0.718 0.989
0.241 0.282 0.011
0.743 0.730 0.487
0.771 0.282 0.541
0.771 0.282 0.011
0.500 0.500 0.000
0.500 0.500 0.500
0.000 0.500 0.500
0.000 0.500 0.000
0.500 0.000 0.000
0.500 0.000 0.500
0.000 0.000 0.000
0.000 0.000 0.500
```

Summary:
raw formation energy = -1.62 eV per atom
crystal system = trigonal
VASP energy = -0.4694 Ry per atom

# 8
VASP calculation (PBE) on Dy8P3CSe3 after structural relaxation.

Geometry as POSCAR:
```
Dy8P3CSe3
1.0
7.932 0.000 0.000
-3.966 6.869 -0.024
0.000 -4.556 6.661
Dy P C Se
8 3 1 3
direct
0.257 0.515 0.272
0.743 0.485 0.728
0.775 0.550 0.286
0.225 0.450 0.714
0.775 0.011 0.286
0.225 0.989 0.714
0.236 0.011 0.286
0.764 0.989 0.714
0.500 0.000 0.500
0.500 0.500 0.500
0.000 0.500 0.500
0.000 0.000 0.500
0.000 0.000 0.000
0.000 0.500 0.000
0.500 0.500 0.000
```

Summary:
raw formation energy = -1.45 eV per atom
crystal system = trigonal
VASP energy = -0.4628 Ry per atom